1.
The following is a DFT calculation (PBE) of an optimized crystal structure of SmYBr5.

Cell: 8.531 4.012 13.672 Å, 90.00 94.70 90.00°
Atoms (fractional coordinates):
Sm 0.103 0.250 0.151
Sm 0.897 0.750 0.849
Y 0.415 0.750 0.344
Y 0.585 0.250 0.656
Br 0.068 0.750 0.308
Br 0.134 0.250 0.928
Br 0.322 0.250 0.482
Br 0.349 0.750 0.127
Br 0.371 0.750 0.710
Br 0.629 0.250 0.290
Br 0.651 0.250 0.873
Br 0.678 0.750 0.518
Br 0.866 0.750 0.072
Br 0.932 0.250 0.692

Computed properties:
* space-group type: No. 11
* final energy: -4.579 eV per atom
* density: 4548 kg/m3


2.
The following is a DFT calculation (PBE) of an optimized crystal structure of SmYBr2.

Cell: 3.712 3.712 30.181 Å, 90.00 90.00 120.00°
Atoms (fractional coordinates):
Sm 0.000 0.000 0.000
Sm 0.333 0.667 0.667
Sm 0.667 0.333 0.333
Y 0.000 0.000 0.500
Y 0.333 0.667 0.167
Y 0.667 0.333 0.833
Br 0.000 0.000 0.404
Br 0.000 0.000 0.596
Br 0.333 0.667 0.071
Br 0.333 0.667 0.262
Br 0.667 0.333 0.738
Br 0.667 0.333 0.929

Computed properties:
* space-group type: No. 166
* final energy: -4.671 eV per atom
* density: 5520 kg/m3


3.
The following is a DFT calculation (PBE) of an optimized crystal structure of Sm2ZnBr.

Cell: 4.092 4.092 22.622 Å, 90.00 90.00 120.00°
Atoms (fractional coordinates):
Sm 0.000 0.000 0.244
Sm 0.000 0.000 0.756
Sm 0.333 0.667 0.423
Sm 0.333 0.667 0.911
Sm 0.667 0.333 0.089
Sm 0.667 0.333 0.577
Zn 0.000 0.000 0.500
Zn 0.333 0.667 0.167
Zn 0.667 0.333 0.833
Br 0.000 0.000 0.000
Br 0.333 0.667 0.667
Br 0.667 0.333 0.333

Computed properties:
* ΔE to the lowest computed polymorph: 0 meV/atom
* space-group type: No. 166
* final energy: -3.783 eV per atom
* density: 6772 kg/m3


4.
The following is a DFT calculation (PBE) of an optimized crystal structure of Sm2ZnBr.

Cell: 3.810 3.810 25.657 Å, 90.00 90.00 120.00°
Atoms (fractional coordinates):
Sm 0.000 0.000 0.000
Sm 0.000 0.000 0.176
Sm 0.333 0.667 0.667
Sm 0.333 0.667 0.842
Sm 0.667 0.333 0.333
Sm 0.667 0.333 0.509
Zn 0.000 0.000 0.588
Zn 0.333 0.667 0.255
Zn 0.667 0.333 0.921
Br 0.000 0.000 0.420
Br 0.333 0.667 0.087
Br 0.667 0.333 0.754

Computed properties:
* ΔE to the lowest computed polymorph: 3 meV/atom
* space-group type: No. 160
* final energy: -3.780 eV per atom
* density: 6889 kg/m3


5.
The following is a DFT calculation (PBE) of an optimized crystal structure of Sm7ZnBr12.

Cell: 9.369 9.369 9.369 Å, 108.13 108.13 108.13°
Atoms (fractional coordinates):
Sm 0.000 0.000 0.000
Sm 0.168 0.459 0.383
Sm 0.383 0.168 0.459
Sm 0.459 0.383 0.168
Sm 0.541 0.617 0.832
Sm 0.617 0.832 0.541
Sm 0.832 0.541 0.617
Zn 0.500 0.500 0.500
Br 0.023 0.106 0.340
Br 0.106 0.340 0.023
Br 0.191 0.577 0.725
Br 0.275 0.809 0.423
Br 0.340 0.023 0.106
Br 0.423 0.275 0.809
Br 0.577 0.725 0.191
Br 0.660 0.977 0.894
Br 0.725 0.191 0.577
Br 0.809 0.423 0.275
Br 0.894 0.660 0.977
Br 0.977 0.894 0.660

Computed properties:
* space-group type: No. 148
* final energy: -4.262 eV per atom
* density: 5205 kg/m3


6.
The following is a DFT calculation (PBE) of an optimized crystal structure of SmZnBr.

Cell: 11.827 11.827 11.827 Å, 20.36 20.36 20.36°
Atoms (fractional coordinates):
Sm 0.061 0.061 0.061
Sm 0.939 0.939 0.939
Zn 0.338 0.338 0.338
Zn 0.662 0.662 0.662
Br 0.220 0.220 0.220
Br 0.780 0.780 0.780

Computed properties:
* space-group type: No. 166
* final energy: -3.569 eV per atom
* density: 5605 kg/m3


7.
The following is a DFT calculation (PBE) of an optimized crystal structure of Sm2ZnBr.

Cell: 3.537 3.537 8.194 Å, 90.00 90.00 90.00°
Atoms (fractional coordinates):
Sm 0.000 0.000 0.223
Sm 0.000 0.000 0.777
Zn 0.500 0.500 0.000
Br 0.500 0.500 0.500

Computed properties:
* ΔE to the lowest computed polymorph: 51 meV/atom
* space-group type: No. 123
* final energy: -3.732 eV per atom
* density: 7225 kg/m3


8.
The following is a DFT calculation (PBE) of an optimized crystal structure of Sm2ZnBr2.

Cell: 4.032 4.032 34.313 Å, 90.00 90.00 120.00°
Atoms (fractional coordinates):
Sm 0.000 0.000 0.111
Sm 0.000 0.000 0.889
Sm 0.333 0.667 0.556
Sm 0.333 0.667 0.778
Sm 0.667 0.333 0.222
Sm 0.667 0.333 0.444
Zn 0.000 0.000 0.500
Zn 0.333 0.667 0.167
Zn 0.667 0.333 0.833
Br 0.000 0.000 0.277
Br 0.000 0.000 0.723
Br 0.333 0.667 0.390
Br 0.333 0.667 0.944
Br 0.667 0.333 0.056
Br 0.667 0.333 0.610

Computed properties:
* space-group type: No. 166
* final energy: -3.905 eV per atom
* density: 5423 kg/m3


9.
The following is a DFT calculation (PBE) of an optimized crystal structure of SnBr3.

Cell: 7.617 7.617 7.617 Å, 90.00 90.00 90.00°
Atoms (fractional coordinates):
Sn 0.000 0.000 0.000
Sn 0.000 0.500 0.500
Sn 0.500 0.000 0.500
Sn 0.500 0.500 0.000
Br 0.000 0.000 0.500
Br 0.000 0.500 0.000
Br 0.250 0.250 0.250
Br 0.250 0.250 0.750
Br 0.250 0.750 0.250
Br 0.250 0.750 0.750
Br 0.500 0.000 0.000
Br 0.500 0.500 0.500
Br 0.750 0.250 0.250
Br 0.750 0.250 0.750
Br 0.750 0.750 0.250
Br 0.750 0.750 0.750

Computed properties:
* space-group type: No. 225
* final energy: -2.412 eV per atom
* density: 5387 kg/m3


10.
The following is a DFT calculation (PBE) of an optimized crystal structure of Sn2Br13.

Cell: 7.303 7.366 13.710 Å, 89.24 88.92 82.68°
Atoms (fractional coordinates):
Sn 0.215 0.281 0.348
Sn 0.785 0.719 0.652
Br 0.000 0.000 0.000
Br 0.105 0.715 0.711
Br 0.106 0.255 0.894
Br 0.230 0.178 0.521
Br 0.311 0.591 0.333
Br 0.409 0.391 0.962
Br 0.427 0.067 0.246
Br 0.573 0.933 0.754
Br 0.591 0.609 0.038
Br 0.689 0.409 0.667
Br 0.770 0.822 0.479
Br 0.894 0.745 0.106
Br 0.895 0.285 0.289

Computed properties:
* space-group type: No. 2
* final energy: -2.392 eV per atom
* density: 2898 kg/m3


11.
The following is a DFT calculation (PBE) of an optimized crystal structure of Sn6Br.

Cell: 8.076 8.076 8.076 Å, 90.00 90.00 90.00°
Atoms (fractional coordinates):
Sn 0.000 0.250 0.500
Sn 0.000 0.500 0.250
Sn 0.000 0.500 0.750
Sn 0.000 0.750 0.500
Sn 0.250 0.000 0.500
Sn 0.250 0.500 0.000
Sn 0.500 0.000 0.250
Sn 0.500 0.000 0.750
Sn 0.500 0.250 0.000
Sn 0.500 0.750 0.000
Sn 0.750 0.000 0.500
Sn 0.750 0.500 0.000
Br 0.000 0.000 0.000
Br 0.500 0.500 0.500

Computed properties:
* space-group type: No. 229
* final energy: -3.615 eV per atom
* density: 4994 kg/m3


12.
The following is a DFT calculation (PBE) of an optimized crystal structure of SnBr2.

Cell: 4.396 4.396 6.854 Å, 90.00 90.00 120.00°
Atoms (fractional coordinates):
Sn 0.000 0.000 0.000
Br 0.333 0.667 0.241
Br 0.667 0.333 0.759

Computed properties:
* space-group type: No. 164
* final energy: -3.206 eV per atom
* density: 4031 kg/m3


Question: Number 2 is which compound?
Answer: SmYBr2